Entry 1:
# BaHo4Se6

An optimized crystal structure of BaHo4Se6 (PBE, Alexandria via LeMat-Bulk).

The value obtained for the calculated density is 7110 kg/m³. The density of states at the Fermi level comes out at 0.314 states/eV per atom. For the raw formation energy, the calculation gives -1.871 eV per atom. For the volume, the calculation gives 593.6 Å³ per cell. The space group is Cmcm, No. 63.

abc: 4.149 7.050 21.235
angles: 90.00 90.00 107.11
Positions (direct):
Se: 0.767 0.535 0.414
Se: 0.040 0.080 0.156
Se: 0.660 0.320 0.750
Se: 0.233 0.465 0.586
Se: 0.500 0.000 0.500
Se: 0.960 0.920 0.844
Se: 0.500 0.000 0.000
Se: 0.340 0.680 0.250
Se: 0.767 0.535 0.086
Se: 0.040 0.080 0.344
Se: 0.960 0.920 0.656
Se: 0.233 0.465 0.914
Ho: 0.138 0.276 0.039
Ho: 0.595 0.190 0.874
Ho: 0.405 0.810 0.374
Ho: 0.405 0.810 0.126
Ho: 0.862 0.724 0.539
Ho: 0.595 0.190 0.626
Ho: 0.138 0.276 0.461
Ho: 0.862 0.724 0.961
Ba: 0.659 0.317 0.250
Ba: 0.341 0.683 0.750

=====

Entry 2:
# BaHo6Se8

An optimized crystal structure of BaHo6Se8 (PBE, Alexandria via LeMat-Bulk).

The value obtained for the calculated density is 6065 kg/m³. The density of states at the Fermi level comes out at 0.400 states/eV per atom. For the raw formation energy, the calculation gives -1.653 eV per atom. For the volume, the calculation gives 481.5 Å³ per cell. The space group is R-3, No. 148.

abc: 7.841 7.841 7.841
angles: 91.76 91.76 91.76
Positions (direct):
Se: 0.247 0.247 0.247
Se: 0.862 0.281 0.617
Se: 0.617 0.862 0.281
Se: 0.753 0.753 0.753
Se: 0.138 0.719 0.383
Se: 0.281 0.617 0.862
Se: 0.719 0.383 0.138
Se: 0.383 0.138 0.719
Ho: 0.400 0.568 0.195
Ho: 0.568 0.195 0.400
Ho: 0.432 0.805 0.600
Ho: 0.805 0.600 0.432
Ho: 0.600 0.432 0.805
Ho: 0.195 0.400 0.568
Ba: 0.000 0.000 0.000

=====

Entry 3:
# Ba2HoSe3

An optimized crystal structure of Ba2HoSe3 (PBE, Alexandria via LeMat-Bulk).

The value obtained for the calculated density is 5444 kg/m³. The density of states at the Fermi level comes out at 0.234 states/eV per atom. For the raw formation energy, the calculation gives -1.804 eV per atom. For the volume, the calculation gives 206.3 Å³ per cell. The space group is Immm, No. 71.

abc: 4.403 5.414 9.332
angles: 106.86 103.65 90.00
Positions (direct):
Ba: 0.351 0.351 0.702
Ba: 0.649 0.649 0.298
Se: 0.837 0.837 0.675
Se: 0.000 0.500 0.000
Se: 0.163 0.163 0.325
Ho: 0.000 0.000 0.000

=====

Entry 4:
# BaHo2Se

An optimized crystal structure of BaHo2Se (PBE, Alexandria via LeMat-Bulk).

The value obtained for the calculated density is 6566 kg/m³. The density of states at the Fermi level comes out at 0.991 states/eV per atom. For the raw formation energy, the calculation gives -0.589 eV per atom. For the volume, the calculation gives 138.1 Å³ per cell. The space group is R-3m, No. 166.

abc: 3.856 3.856 10.956
angles: 79.87 79.87 60.00
Positions (direct):
Ho: 0.886 0.886 0.341
Ho: 0.114 0.114 0.659
Ba: 0.000 0.000 0.000
Se: 0.500 0.500 0.500

=====

Entry 5:
# Ba2Ho3Se6

An optimized crystal structure of Ba2Ho3Se6 (PBE, Alexandria via LeMat-Bulk).

The value obtained for the calculated density is 6021 kg/m³. The density of states at the Fermi level comes out at 0.322 states/eV per atom. For the raw formation energy, the calculation gives -1.931 eV per atom. For the volume, the calculation gives 342.8 Å³ per cell. The space group is C2/m, No. 12.

abc: 7.242 7.239 7.926
angles: 81.26 72.31 59.99
Positions (direct):
Se: 0.264 0.000 0.212
Se: 0.736 0.000 0.788
Se: 0.929 0.668 0.210
Se: 0.403 0.668 0.790
Se: 0.597 0.332 0.210
Se: 0.071 0.332 0.790
Ho: 0.666 0.668 0.000
Ho: 0.334 0.332 0.000
Ho: 0.000 0.000 0.000
Ba: 0.167 0.666 0.500
Ba: 0.833 0.334 0.500

=====

Entry 6:
# Ba3SmHo3Se8

An optimized crystal structure of Ba3SmHo3Se8 (PBE, Alexandria via LeMat-Bulk).

The value obtained for the calculated density is 6062 kg/m³. The density of states at the Fermi level comes out at 0.237 states/eV per atom. For the raw formation energy, the calculation gives -1.918 eV per atom. For the volume, the calculation gives 462.6 Å³ per cell. The space group is R-3m, No. 166.

abc: 8.430 8.432 8.954
angles: 118.10 90.00 119.99
Positions (direct):
Sm: 0.000 0.000 0.500
Se: 0.242 0.971 0.713
Se: 0.758 0.516 0.287
Se: 0.737 0.475 0.711
Se: 0.271 0.029 0.287
Se: 0.263 0.525 0.289
Se: 0.242 0.484 0.713
Se: 0.729 0.971 0.713
Se: 0.758 0.029 0.287
Ba: 0.000 0.500 0.000
Ba: 0.500 0.500 0.000
Ba: 0.000 0.000 0.000
Ho: 0.000 0.500 0.500
Ho: 0.500 0.000 0.500
Ho: 0.500 0.500 0.500